5
Lattice="-1.1118 5.1788 0.5396 -4.3331 -0.6143 -3.0322 -2.8871 -1.0724 4.3431" Properties=species:S:1:pos:R:3 comment="RuPtI3 PBE relaxed" dos_ef_per_ev_atom=2.096 space_group="No. 221" e_tot_ev_per_cell=-14.83 de_polymorph_mev_per_atom=18 pbc="T T T"
I -1.4436 -0.5362 2.1715
I -0.5559 2.5894 0.2698
Ru 0.0000 0.0000 0.0000
I -2.1666 -0.3072 -1.5161
Pt -4.1661 1.7461 0.9252



5
Lattice="-0.6643 2.4444 -2.6412 -3.3802 -1.3455 -0.3951 -4.7751 5.8276 4.0589" Properties=species:S:1:pos:R:3 comment="RuPt2I2 PBE relaxed" dos_ef_per_ev_atom=1.226 space_group="No. 139" e_tot_ev_per_cell=-20.17 de_polymorph_mev_per_atom=0 pbc="T T T"
Pt -5.0888 2.5158 1.0728
I -6.2404 5.3093 1.4125
I -2.5792 1.6172 -0.3899
Ru 0.0000 0.0000 0.0000
Pt -3.7308 4.4107 -0.0502



5
Lattice="4.6305 0.0000 0.0000 0.0000 5.9975 0.0000 0.0000 0.0000 4.6305" Properties=species:S:1:pos:R:3 comment="RuPt2SeI PBE relaxed" dos_ef_per_ev_atom=1.773 space_group="No. 123" e_tot_ev_per_cell=-19.96 pbc="T T T"
Pt 0.0000 0.0000 2.3152
I 0.0000 2.9987 0.0000
Ru 2.3152 2.9987 2.3152
Pt 2.3152 0.0000 0.0000
Se 0.0000 0.0000 0.0000



12
Lattice="7.1838 -0.0002 0.0011 -3.5903 6.2223 0.0011 -1.1972 -2.0729 8.0678" Properties=species:S:1:pos:R:3 comment="Sm6Ru2PtI3 PBE relaxed" dos_ef_per_ev_atom=0.440 space_group="No. 12" e_tot_ev_per_cell=-67.49 pbc="T T T"
I 4.7866 0.0021 4.0350
Sm 2.3521 4.0727 1.4867
Sm -1.2384 2.1480 1.4929
I -2.3903 4.1470 4.0350
Sm 3.6347 2.0011 6.5771
I 1.1981 2.0746 4.0350
Ru -0.0004 4.1490 0.0011
Sm -0.0831 4.1483 6.5771
Sm 2.4794 0.0008 1.4929
Sm 0.0442 0.0765 6.5833
Ru 3.5939 2.0731 0.0011
Pt 0.0000 0.0000 0.0000



5
Lattice="-1.4440 -1.0626 4.9914 2.3787 -4.6381 -0.2992 4.4950 2.1913 1.7668" Properties=species:S:1:pos:R:3 comment="SrRuPt2I PBE relaxed" dos_ef_per_ev_atom=1.091 space_group="No. 123" e_tot_ev_per_cell=-15.78 pbc="T T T"
I 2.7148 -1.7547 3.2295
Pt -0.7220 -0.5313 2.4957
Ru 1.1894 -2.3191 -0.1496
Pt 2.2475 1.0956 0.8834
Sr 0.0000 0.0000 0.0000



5
Lattice="4.9453 0.0000 0.0000 0.0000 4.6505 0.0000 0.0000 0.0000 4.9453" Properties=species:S:1:pos:R:3 comment="Ta2RuPtI PBE relaxed" dos_ef_per_ev_atom=1.397 space_group="No. 123" e_tot_ev_per_cell=-30.66 pbc="T T T"
I 0.0000 0.0000 0.0000
Ru 0.0000 2.3253 0.0000
Ta 0.0000 0.0000 2.4726
Ta 2.4726 0.0000 0.0000
Pt 2.4726 2.3253 2.4726